1.
Entry from the Alexandria database: crystalline YBi15O24 at its relaxed geometry (PBE).

Calculated values
Formation energy from raw total energies in eV per formula unit: -52.87
Total magnetic moment in μB per cell: 0.000
V in A^3/atom: 17.72

a b c (Å): 8.0571 7.7334 11.3766
angles (deg): 90.00 91.13 90.00
Last column: nearest neighbours and their distance in Å.
Positions (direct):
Y: 0.0000 0.0000 0.0000  4 O 2.17-2.39
Bi: 0.0286 0.0000 0.5028  3 O 2.17-2.20
Bi: 0.0578 0.5000 0.5103  3 O 2.15-2.25
Bi: 0.0689 0.5000 0.0171  3 O 2.15-2.41
Bi: 0.2651 0.2506 0.2649  3 O 2.13-2.28
Bi: 0.2651 0.7494 0.2649  3 O 2.13-2.28
Bi: 0.2806 0.2527 0.7690  3 O 2.13-2.32
Bi: 0.2806 0.7473 0.7690  3 O 2.13-2.32
Bi: 0.5282 0.5000 0.5282  3 O 2.15-2.19
Bi: 0.5347 0.5000 0.0317  3 O 2.16-2.19
Bi: 0.5441 0.0000 0.0242  3 O 2.12-2.22
Bi: 0.5595 0.0000 0.5226  3 O 2.17-2.25
Bi: 0.7675 0.2435 0.2639  3 O 2.14-2.29
Bi: 0.7675 0.7565 0.2639  3 O 2.14-2.29
Bi: 0.7788 0.2458 0.7669  3 O 2.13-2.32
Bi: 0.7788 0.7542 0.7669  3 O 2.13-2.32
O: 0.0044 0.2966 0.3728  3 Bi 2.25-2.48
O: 0.0044 0.7034 0.3728  3 Bi 2.25-2.48
O: 0.0211 0.2671 0.8801  3 Bi 2.32-2.47, 1 Y 2.48
O: 0.0211 0.7329 0.8801  3 Bi 2.32-2.47, 1 Y 2.48
O: 0.1087 0.2053 0.1146  1 Bi 2.13, 1 Y 2.22
O: 0.1087 0.7947 0.1146  1 Bi 2.13, 1 Y 2.22
O: 0.1186 0.2084 0.6188  2 Bi 2.16-2.20
O: 0.1186 0.7916 0.6188  2 Bi 2.16-2.20
O: 0.2708 0.5000 0.1825  2 Bi 2.15
O: 0.2836 0.5000 0.6859  2 Bi 2.13
O: 0.2967 0.5000 0.4300  2 Bi 2.15
O: 0.3044 0.5000 0.9308  2 Bi 2.15-2.16
O: 0.4964 0.2050 0.1561  2 Bi 2.22-2.28
O: 0.4964 0.7950 0.1561  2 Bi 2.22-2.28
O: 0.5162 0.2021 0.6607  3 Bi 2.25-2.44
O: 0.5162 0.7979 0.6607  3 Bi 2.25-2.44
O: 0.6093 0.2920 0.4118  2 Bi 2.16-2.19
O: 0.6093 0.7080 0.4118  2 Bi 2.16-2.19
O: 0.6226 0.2948 0.9159  2 Bi 2.16-2.19
O: 0.6226 0.7052 0.9159  2 Bi 2.16-2.19
O: 0.7787 0.0000 0.3526  2 Bi 2.14
O: 0.7814 0.0000 0.1090  1 Bi 2.12, 1 Y 2.17
O: 0.7846 0.0000 0.8522  2 Bi 2.13
O: 0.8042 0.0000 0.6051  2 Bi 2.17

***

2.
Entry from the Alexandria database: crystalline YBiO3 at its relaxed geometry (PBE).

Calculated values
Formation energy from raw total energies in eV per formula unit: -6.41
Total magnetic moment in μB per cell: 0.000
V in A^3/atom: 16.64

a b c (Å): 4.3655 4.3655 4.3655
angles (deg): 90.00 90.00 90.00
Last column: nearest neighbours and their distance in Å.
Positions (direct):
Y: 0.0000 0.0000 0.0000  12 O 3.09
Bi: 0.5000 0.5000 0.5000  6 O 2.18
O: 0.0000 0.5000 0.5000  2 Bi 2.18
O: 0.5000 0.0000 0.5000  2 Bi 2.18
O: 0.5000 0.5000 0.0000  2 Bi 2.18

***

3.
Entry from the Alexandria database: crystalline YBiO3 at its relaxed geometry (PBE).

Calculated values
Formation energy from raw total energies in eV per formula unit: -11.17
Total magnetic moment in μB per cell: 0.000
V in A^3/atom: 16.84

a b c (Å): 3.8341 3.8341 13.2263
angles (deg): 90.00 90.00 120.00
Last column: nearest neighbours and their distance in Å.
Positions (direct):
Y: 0.0000 0.0000 0.0000  6 O 2.41
Y: 0.0000 0.0000 0.5000  6 O 2.41
Bi: 0.3333 0.6667 0.2500  5 O 2.21-2.36
Bi: 0.6667 0.3333 0.7500  5 O 2.21-2.36
O: 0.0000 0.0000 0.2500  3 Bi 2.21
O: 0.0000 0.0000 0.7500  3 Bi 2.21
O: 0.3333 0.6667 0.0717  1 Bi 2.36, 3 Y 2.41
O: 0.3333 0.6667 0.4283  1 Bi 2.36, 3 Y 2.41
O: 0.6667 0.3333 0.5717  1 Bi 2.36, 3 Y 2.41
O: 0.6667 0.3333 0.9283  1 Bi 2.36, 3 Y 2.41

***

4.
Entry from the Alexandria database: crystalline YBiO3 at its relaxed geometry (PBE).

Calculated values
Formation energy from raw total energies in eV per formula unit: -11.71
Total magnetic moment in μB per cell: 0.000
V in A^3/atom: 15.96

a b c (Å): 6.1457 6.1457 6.1457
angles (deg): 58.80 58.80 58.80
Last column: nearest neighbours and their distance in Å.
Positions (direct):
Y: 0.1406 0.1406 0.1406  6 O 2.25-2.37
Y: 0.8594 0.8594 0.8594  6 O 2.25-2.37
Bi: 0.3561 0.3561 0.3561  6 O 2.31-2.51
Bi: 0.6439 0.6439 0.6439  6 O 2.31-2.51
O: 0.0090 0.4561 0.7811  2 Y 2.25-2.37, 2 Bi 2.31-2.51
O: 0.2189 0.9910 0.5439  2 Y 2.25-2.37, 2 Bi 2.31-2.51
O: 0.4561 0.7811 0.0090  2 Y 2.25-2.37, 2 Bi 2.31-2.51
O: 0.5439 0.2189 0.9910  2 Y 2.25-2.37, 2 Bi 2.31-2.51
O: 0.7811 0.0090 0.4561  2 Y 2.25-2.37, 2 Bi 2.31-2.51
O: 0.9910 0.5439 0.2189  2 Y 2.25-2.37, 2 Bi 2.31-2.51

***

5.
Entry from the Alexandria database: crystalline Y5Bi5O2 at its relaxed geometry (PBE).

Calculated values
Formation energy from raw total energies in eV per formula unit: -16.79
Total magnetic moment in μB per cell: 0.000
V in A^3/atom: 25.87

a b c (Å): 7.2553 7.2553 11.2196
angles (deg): 98.29 98.29 32.11
Last column: nearest neighbours and their distance in Å.
Positions (direct):
Y: 0.0000 0.0000 0.0000  2 O 2.32
Y: 0.0901 0.0901 0.3162  1 O 2.28
Y: 0.3674 0.3674 0.1991  2 O 2.31
Y: 0.6326 0.6326 0.8009  2 O 2.31
Y: 0.9099 0.9099 0.6838  1 O 2.28
Bi: 0.2227 0.2227 0.6025  3 Bi 3.23-3.40, 5 Y 3.31-3.46, 1 O 3.59
Bi: 0.3326 0.3326 0.8943  7 Y 3.17-3.47, 1 Bi 3.40
Bi: 0.5000 0.5000 0.5000  6 Y 3.26-3.60
Bi: 0.6674 0.6674 0.1057  7 Y 3.17-3.47, 1 Bi 3.40
Bi: 0.7773 0.7773 0.3975  3 Bi 3.23-3.40, 5 Y 3.31-3.46, 1 O 3.59
O: 0.0528 0.0528 0.8132  4 Y 2.28-2.32
O: 0.9472 0.9472 0.1868  4 Y 2.28-2.32

***

6.
Entry from the Alexandria database: crystalline YBiO3 at its relaxed geometry (PBE).

Calculated values
Formation energy from raw total energies in eV per formula unit: -11.13
Total magnetic moment in μB per cell: 0.000
V in A^3/atom: 15.75

a b c (Å): 6.1609 8.6032 5.9443
angles (deg): 90.00 90.00 90.00
Last column: nearest neighbours and their distance in Å.
Positions (direct):
Y: 0.0408 0.2500 0.0017  4 O 2.20-2.35
Y: 0.4592 0.7500 0.5017  4 O 2.20-2.35
Y: 0.5408 0.2500 0.4983  4 O 2.20-2.35
Y: 0.9592 0.7500 0.9983  4 O 2.20-2.35
Bi: 0.0000 0.0000 0.5000  6 O 2.35-2.45
Bi: 0.0000 0.5000 0.5000  6 O 2.35-2.45
Bi: 0.5000 0.0000 0.0000  6 O 2.35-2.45
Bi: 0.5000 0.5000 0.0000  6 O 2.35-2.45
O: 0.1093 0.7500 0.6601  2 Y 2.21-2.35, 2 Bi 2.45
O: 0.1680 0.5763 0.1636  1 Y 2.20, 2 Bi 2.35-2.36
O: 0.1680 0.9237 0.1636  1 Y 2.20, 2 Bi 2.35-2.36
O: 0.3320 0.0763 0.6636  1 Y 2.20, 2 Bi 2.35-2.36
O: 0.3320 0.4237 0.6636  1 Y 2.20, 2 Bi 2.35-2.36
O: 0.3907 0.2500 0.1601  2 Y 2.21-2.35, 2 Bi 2.45
O: 0.6093 0.7500 0.8399  2 Y 2.21-2.35, 2 Bi 2.45
O: 0.6680 0.5763 0.3364  1 Y 2.20, 2 Bi 2.35-2.36
O: 0.6680 0.9237 0.3364  1 Y 2.20, 2 Bi 2.35-2.36
O: 0.8320 0.0763 0.8364  1 Y 2.20, 2 Bi 2.35-2.36
O: 0.8320 0.4237 0.8364  1 Y 2.20, 2 Bi 2.35-2.36
O: 0.8907 0.2500 0.3399  2 Y 2.21-2.35, 2 Bi 2.45